Entry from Alexandria via LeMat-Bulk: a relaxed BaSr2Al6 crystal (PBE).

Results
excess energy over the best structure of this formula in the dataset: 1.73 eV per formula unit
ΔH_f (0 K): -0.0154 eV per atom
calculated total energy: -3.098 eV per atom

abc: 8.3853 8.3853 8.3853
angles: 149.28 105.12 83.08
Closest atoms and distances in Å follow each position.
Fractional positions:
Ba 0.0000 0.0000 0.0000  16 Al 4.15-4.63, 2 Ba 4.44
Sr 0.3402 0.8402 0.5000  10 Al 3.17-3.39
Sr 0.6598 0.1598 0.5000  10 Al 3.17-3.39
Al 0.0603 0.3089 0.7514  3 Al 2.61-2.67
Al 0.3518 0.5000 0.8518  2 Al 2.61
Al 0.4425 0.6911 0.7514  3 Al 2.61-2.67
Al 0.5575 0.3089 0.2486  3 Al 2.61-2.67
Al 0.6482 0.5000 0.1482  2 Al 2.61
Al 0.9397 0.6911 0.2486  3 Al 2.61-2.67